(1)
Below is crystalline CrSbAs2Au at its relaxed geometry, with properties calculated at the GGA-PBE level.

a b c (Å): 4.572 4.572 5.258
angles (deg): 90.00 90.00 90.00
Fractional positions:
Cr1 0.000 0.000 0.000
Sb1 0.500 0.500 0.500
As1 0.000 0.500 0.000
As2 0.500 0.000 0.000
Au1 0.000 0.000 0.500

E_form (uncorrected) = 0.423 eV/atom
total energy = -4.842 eV per atom
magnetic moment = 0.2919 μB per atom
V = 22.0 Å³ per atom



(2)
Below is crystalline CaTc at its relaxed geometry, with properties calculated at the GGA-PBE level.

a b c (Å): 4.738 4.738 4.738
angles (deg): 64.52 64.52 64.52
Fractional positions:
Ca1 0.132 0.132 0.132
Ca2 0.868 0.868 0.868
Tc1 0.395 0.395 0.395
Tc2 0.605 0.605 0.605

total energy = -5.647 eV per atom
magnetic moment = 0.0000 μB per atom
energy of formation from the pure elements = 537 meV/atom
distance to the lowest polymorph of the same formula = 324 meV per atom
V = 20.7 Å³ per atom



(3)
Below is crystalline SiGeO4 at its relaxed geometry, with properties calculated at the GGA-PBE level.

a b c (Å): 4.904 4.904 7.222
angles (deg): 95.34 95.34 74.82
Fractional positions:
Si1 0.000 0.500 0.000
Si2 0.500 0.000 0.500
Ge1 0.053 0.947 0.750
Ge2 0.947 0.053 0.250
O1 0.104 0.292 0.805
O2 0.173 0.734 0.941
O3 0.266 0.827 0.559
O4 0.292 0.104 0.305
O5 0.708 0.896 0.695
O6 0.734 0.173 0.441
O7 0.827 0.266 0.059
O8 0.896 0.708 0.195

E_form (uncorrected) = -1.773 eV/atom
total energy = -6.752 eV per atom
magnetic moment = 0.0000 μB per atom
distance to the lowest polymorph of the same formula = 422 meV per atom
V = 13.9 Å³ per atom



(4)
Below is crystalline Tb4Tl2PS at its relaxed geometry, with properties calculated at the GGA-PBE level.

a b c (Å): 6.745 3.905 8.251
angles (deg): 90.00 105.91 90.00
Fractional positions:
Tb1 0.232 0.000 0.202
Tb2 0.263 0.500 0.797
Tb3 0.737 0.500 0.203
Tb4 0.768 0.000 0.798
Tl1 0.000 0.000 0.500
Tl2 0.500 0.500 0.500
P1 0.000 0.500 0.000
S1 0.500 0.000 0.000

E_form (uncorrected) = -1.093 eV/atom
total energy = -5.192 eV per atom
magnetic moment = 0.0000 μB per atom
V = 26.1 Å³ per atom



(5)
Below is crystalline Ac2Pm2Tm at its relaxed geometry, with properties calculated at the GGA-PBE level.

a b c (Å): 9.048 9.048 9.048
angles (deg): 148.44 148.44 45.23
Fractional positions:
Ac1 0.250 0.750 0.500
Ac2 0.750 0.250 0.500
Pm1 0.090 0.090 0.000
Pm2 0.910 0.910 0.000
Tm1 0.500 0.500 0.000

total energy = -3.955 eV per atom
magnetic moment = 0.0000 μB per atom
energy of formation from the pure elements = 483 meV/atom
distance to the lowest polymorph of the same formula = 419 meV per atom
V = 40.5 Å³ per atom



(6)
Below is crystalline GeBP2Cl at its relaxed geometry, with properties calculated at the GGA-PBE level.

a b c (Å): 3.944 3.944 5.875
angles (deg): 90.00 90.00 90.00
Fractional positions:
Ge1 0.000 0.000 0.000
B1 0.500 0.500 0.500
P1 0.000 0.500 0.500
P2 0.500 0.000 0.500
Cl1 0.500 0.500 0.000

E_form (uncorrected) = 0.715 eV/atom
total energy = -4.077 eV per atom
magnetic moment = 0.0000 μB per atom
distance to the lowest polymorph of the same formula = 0 meV per atom
V = 18.3 Å³ per atom



(7)
Below is crystalline Li8SbPd6 at its relaxed geometry, with properties calculated at the GGA-PBE level.

a b c (Å): 6.779 6.779 6.779
angles (deg): 68.85 68.85 68.85
Fractional positions:
Li1 0.049 0.710 0.375
Li2 0.163 0.163 0.163
Li3 0.290 0.625 0.951
Li4 0.375 0.049 0.710
Li5 0.625 0.951 0.290
Li6 0.710 0.375 0.049
Li7 0.837 0.837 0.837
Li8 0.951 0.290 0.625
Sb1 0.500 0.500 0.500
Pd1 0.119 0.461 0.795
Pd2 0.205 0.881 0.539
Pd3 0.461 0.795 0.119
Pd4 0.539 0.205 0.881
Pd5 0.795 0.119 0.461
Pd6 0.881 0.539 0.205

E_form (uncorrected) = -0.322 eV/atom
total energy = -3.695 eV per atom
magnetic moment = 0.0000 μB per atom
V = 17.4 Å³ per atom



(8)
Below is crystalline Rb4TbPa3Se8 at its relaxed geometry, with properties calculated at the GGA-PBE level.

a b c (Å): 9.487 9.487 9.487
angles (deg): 52.60 52.60 52.60
Fractional positions:
Rb1 0.000 0.000 0.000
Rb2 0.000 0.500 0.500
Rb3 0.500 0.000 0.500
Rb4 0.500 0.500 0.000
Tb1 0.500 0.500 0.500
Pa1 0.000 0.000 0.500
Pa2 0.000 0.500 0.000
Pa3 0.500 0.000 0.000
Se1 0.234 0.234 0.234
Se2 0.234 0.733 0.733
Se3 0.267 0.267 0.766
Se4 0.267 0.766 0.267
Se5 0.733 0.234 0.733
Se6 0.733 0.733 0.234
Se7 0.766 0.267 0.267
Se8 0.766 0.766 0.766

E_form (uncorrected) = -1.392 eV/atom
total energy = -5.446 eV per atom
magnetic moment = 0.3679 μB per atom
V = 31.2 Å³ per atom



(9)
Below is crystalline SiPd4S at its relaxed geometry, with properties calculated at the GGA-PBE level.

a b c (Å): 6.558 6.558 6.558
angles (deg): 110.07 110.07 108.27
Fractional positions:
Si1 0.000 0.000 0.000
Si2 0.750 0.250 0.500
Pd1 0.171 0.488 0.683
Pd2 0.238 0.055 0.817
Pd3 0.238 0.421 0.183
Pd4 0.320 0.010 0.310
Pd5 0.700 0.010 0.690
Pd6 0.760 0.570 0.810
Pd7 0.760 0.950 0.190
Pd8 0.805 0.488 0.317
S1 0.259 0.759 0.500
S2 0.509 0.509 0.000

E_form (uncorrected) = -0.157 eV/atom
total energy = -5.211 eV per atom
magnetic moment = 0.0000 μB per atom
V = 18.1 Å³ per atom



(10)
Below is crystalline SrIn2Hg2 at its relaxed geometry, with properties calculated at the GGA-PBE level.

a b c (Å): 5.051 6.602 9.394
angles (deg): 78.74 74.53 67.58
Fractional positions:
Sr1 0.172 0.365 0.289
Sr2 0.828 0.635 0.711
In1 0.127 0.060 0.683
In2 0.455 0.199 0.885
In3 0.545 0.801 0.115
In4 0.873 0.940 0.317
Hg1 0.170 0.712 0.950
Hg2 0.410 0.735 0.451
Hg3 0.590 0.265 0.549
Hg4 0.830 0.288 0.050

total energy = -1.889 eV per atom
magnetic moment = 0.0000 μB per atom
energy of formation from the pure elements = -336 meV/atom
V = 27.8 Å³ per atom



(11)
Below is crystalline NaAlSe at its relaxed geometry, with properties calculated at the GGA-PBE level.

a b c (Å): 5.313 5.313 5.804
angles (deg): 90.00 90.00 90.00
Fractional positions:
Na1 0.250 0.250 0.125
Na2 0.750 0.750 0.875
Al1 0.250 0.750 0.500
Al2 0.750 0.250 0.500
Se1 0.250 0.250 0.636
Se2 0.750 0.750 0.364

E_form (uncorrected) = -0.252 eV/atom
total energy = -3.100 eV per atom
magnetic moment = 0.0000 μB per atom
distance to the lowest polymorph of the same formula = 182 meV per atom
V = 27.3 Å³ per atom



(12)
Below is crystalline PrNd4Dy2Ho at its relaxed geometry, with properties calculated at the GGA-PBE level.

a b c (Å): 6.281 3.644 11.997
angles (deg): 90.00 100.21 90.00
Fractional positions:
Pr1 0.000 0.000 0.000
Nd1 0.251 0.000 0.748
Nd2 0.251 0.500 0.253
Nd3 0.749 0.000 0.252
Nd4 0.749 0.500 0.747
Dy1 0.500 0.000 0.500
Dy2 0.500 0.500 0.000
Ho1 0.000 0.500 0.500

total energy = -4.688 eV per atom
magnetic moment = 0.0000 μB per atom
energy of formation from the pure elements = 16 meV/atom
V = 33.8 Å³ per atom